# Sr2LiReS, optimized geometry, DFT GGA-PBE
# raw formation energy: 0.59 eV per atom
# crystal system: tetragonal
# total magnetization: 1.289 μB/f.u.
data_Sr2LiReS
_chemical_formula_sum 'Sr2 Li1 Re1 S1'
_cell_length_a 5.586
_cell_length_b 5.586
_cell_length_c 4.697
_cell_angle_alpha 90.00
_cell_angle_beta 90.00
_cell_angle_gamma 90.00
_symmetry_space_group_name_H-M 'P 1'
_symmetry_Int_Tables_number 1
_symmetry_space_group_name_Hall 'P 1'
loop_
_atom_site_label
_atom_site_type_symbol
_atom_site_fract_x
_atom_site_fract_y
_atom_site_fract_z
Sr1 Sr 0.000 0.500 0.000
Sr2 Sr 0.500 0.000 0.000
Li1 Li 0.000 0.000 0.500
Re1 Re 0.000 0.000 0.000
S1 S 0.500 0.500 0.500